The following is a PBE calculation of crystalline ZrCuSi4 at its relaxed geometry, from Alexandria via LeMat-Bulk.

Summary:
As for the uncorrected formation energy: -0.014 eV per atom. Its density of states at the Fermi level is 2.739 states/eV/cell. Its total energy is -5.7364 eV per atom. The space group is F-43m (216). As for the volume: 89 Å³ per cell.

a = 5.0058 Å, b = 5.0058 Å, c = 5.0058 Å
α = 60.00°, β = 60.00°, γ = 60.00°
Closest atoms and distances in Å follow each position.
Fractional positions:
Si: 0.8781 0.3740 0.3740  6 Si 2.48-2.52
Si: 0.3740 0.8781 0.3740  6 Si 2.48-2.52
Si: 0.3740 0.3740 0.8781  6 Si 2.48-2.52
Si: 0.3740 0.3740 0.3740  6 Si 2.48-2.52
Zr: 0.7500 0.7500 0.7500  12 Si 2.94, 4 Cu 3.07
Cu: 0.0000 0.0000 0.0000  12 Si 2.93, 4 Zr 3.07

=====

The following is a PBE calculation of crystalline CoNi5Br12 at its relaxed geometry, from Alexandria via LeMat-Bulk.

Summary:
As for the uncorrected formation energy: -0.324 eV per atom. Its density of states at the Fermi level is 2.635 states/eV/cell. Its total energy is -3.4396 eV per atom. The space group is C2/m (12). As for the volume: 484 Å³ per cell.

a = 6.4002 Å, b = 6.4030 Å, c = 13.6291 Å
α = 89.98°, β = 89.96°, γ = 60.01°
Closest atoms and distances in Å follow each position.
Fractional positions:
Co: 0.0000 0.0000 0.0000  6 Br 2.58
Ni: 0.5000 0.0000 0.5000  6 Br 2.55
Ni: 0.6667 0.6667 0.0000  6 Br 2.55
Ni: 0.3333 0.3333 0.0000  6 Br 2.55
Ni: 0.8333 0.3333 0.5000  6 Br 2.55
Ni: 0.1667 0.6667 0.5000  6 Br 2.55
Br: 0.3371 0.6629 0.8965  2 Ni 2.55, 1 Co 2.58
Br: 0.5002 0.6667 0.3975  3 Ni 2.55
Br: 0.6629 0.3371 0.1035  2 Ni 2.55, 1 Co 2.58
Br: 0.0000 0.6629 0.1035  2 Ni 2.55, 1 Co 2.58
Br: 0.8331 0.6667 0.6025  3 Ni 2.55
Br: 0.4998 0.3333 0.6025  3 Ni 2.55
Br: 0.6630 0.0000 0.8965  2 Ni 2.55, 1 Co 2.58
Br: 0.1664 0.0000 0.6025  3 Ni 2.55
Br: 0.1669 0.3333 0.3975  3 Ni 2.55
Br: 0.3371 0.0000 0.1035  2 Ni 2.55, 1 Co 2.58
Br: 0.8336 0.0000 0.3975  3 Ni 2.55
Br: 0.0001 0.3371 0.8965  2 Ni 2.55, 1 Co 2.58